First-principles (PBE-GGA) data for a geometry-optimized AlSbIN2 structure, as listed in the Alexandria database.

Output
Its energy relative to the lowest polymorph listed for this composition is 0.0000 eV/atom. The formation energy without anion corrections is 5.578 eV per formula unit. For the total DFT energy (no corrections), the calculation gives -20.49 eV for the cell shown. The calculation puts the total moment at 1.01 μB/f.u. The value obtained for the density of states at the Fermi level is 4.574 states/eV/cell.

abc: 4.1004 4.1004 5.4132
angles: 90.00 90.00 90.00
With the nearest neighbours (Å) after each atom.
Space group P4/mmm (No. 123)
Unique sites:
Al  0.0000  0.0000  0.0000  4 N 2.05
Sb  0.5000  0.5000  0.5000  4 I 2.90
I  0.0000  0.0000  0.5000  2 Al 2.71, 4 Sb 2.90
N  0.0000  0.5000  0.0000  2 Al 2.05